No. 1
# PBE-GGA Al2In2Bi, relaxed
# formation enthalpy at 0 K: 192 meV/atom
# offset from the most stable computed form: 0.0236 eV/atom
data_Al2In2Bi
_chemical_formula_sum 'Al4 In4 Bi2'
_cell_length_a 8.836
_cell_length_b 8.836
_cell_length_c 3.164
_cell_angle_alpha 90.00
_cell_angle_beta 90.00
_cell_angle_gamma 90.00
_symmetry_space_group_name_H-M 'P 4/m b m'
_symmetry_Int_Tables_number 127
_symmetry_space_group_name_Hall '-P 4 2ab'
loop_
_atom_site_label
_atom_site_fract_x
_atom_site_fract_y
_atom_site_fract_z
Al1 0.119 0.381 0.000
In1 0.174 0.674 0.500
Bi1 0.000 0.000 0.500

---

No. 2
# PBE-GGA CaLaTb2Hg4, relaxed
# formation enthalpy at 0 K: -501 meV/atom
data_CaLaTb2Hg4
_chemical_formula_sum 'Ca3 La3 Tb6 Hg12'
_cell_length_a 5.3378
_cell_length_b 5.3378
_cell_length_c 26.5450
_cell_angle_alpha 90.00
_cell_angle_beta 90.00
_cell_angle_gamma 120.00
_symmetry_space_group_name_H-M 'R -3 m'
_symmetry_Int_Tables_number 166
_symmetry_space_group_name_Hall '-R 3 2"'
loop_
_atom_site_label
_atom_site_fract_x
_atom_site_fract_y
_atom_site_fract_z
Ca1 0.0000 0.0000 0.0000
La1 0.0000 0.0000 0.5000
Tb1 0.0000 0.0000 0.2532
Hg1 0.0000 0.0000 0.1220
Hg2 0.0000 0.0000 0.3743

---

No. 3
# PBE-GGA Tm8SnRu2, relaxed
# formation enthalpy at 0 K: -342 meV/atom
# offset from the most stable computed form: 0.0000 eV/atom
data_Tm8SnRu2
_chemical_formula_sum 'Tm16 Sn2 Ru4'
_cell_length_a 8.632
_cell_length_b 12.944
_cell_length_c 5.383
_cell_angle_alpha 90.00
_cell_angle_beta 104.21
_cell_angle_gamma 90.00
_symmetry_space_group_name_H-M 'C 1 2/m 1'
_symmetry_Int_Tables_number 12
loop_
_symmetry_equiv_pos_as_xyz
'x,y,z'
'-x,-y,-z'
'-x,y,-z'
'x,-y,z'
'x+1/2,y+1/2,z'
'-x+1/2,-y+1/2,-z'
'-x+1/2,y+1/2,-z'
'x+1/2,-y+1/2,z'
loop_
_atom_site_label
_atom_site_fract_x
_atom_site_fract_y
_atom_site_fract_z
Tm1 0.000 0.246 0.000
Tm2 0.113 0.500 0.800
Tm3 0.199 0.132 0.581
Sn1 0.000 0.000 0.000
Ru1 0.000 0.313 0.500

---

No. 4
# PBE-GGA Li2Hf2Mo, relaxed
# formation enthalpy at 0 K: 495 meV/atom
# offset from the most stable computed form: 0.2440 eV/atom
data_Li2Hf2Mo
_chemical_formula_sum 'Li4 Hf4 Mo2'
_cell_length_a 4.861
_cell_length_b 4.861
_cell_length_c 7.109
_cell_angle_alpha 90.00
_cell_angle_beta 90.00
_cell_angle_gamma 90.00
_symmetry_space_group_name_H-M 'I 4/m m m'
_symmetry_Int_Tables_number 139
_symmetry_space_group_name_Hall '-I 4 2'
loop_
_atom_site_label
_atom_site_fract_x
_atom_site_fract_y
_atom_site_fract_z
Li1 0.000 0.000 0.122
Hf1 0.000 0.500 0.250
Mo1 0.000 0.000 0.500

---

Question: The highest formation enthalpy at 0 K belongs to which entry?
Answer: Li2Hf2Mo